# DyNbN2O (GGA-PBE, relaxed)
data_DyNbN2O
_chemical_formula_sum 'Dy4 Nb4 N8 O4'
_symmetry_space_group_name_H-M 'P m c 21'
_symmetry_Int_Tables_number 26
_cell_length_a 7.815
_cell_length_b 5.653
_cell_length_c 5.686
_cell_angle_alpha 90.00
_cell_angle_beta 90.00
_cell_angle_gamma 90.00
loop_
_symmetry_equiv_pos_as_xyz
'x,y,z'
'-x,-y,z+1/2'
'-x,y,z'
'x,-y,z+1/2'
loop_
_atom_site_label
_atom_site_fract_x
_atom_site_fract_y
_atom_site_fract_z
Dy1 0.000 0.223 0.000
Dy2 0.500 0.277 0.004
Nb1 0.250 0.250 0.493
N1 0.183 0.002 0.270
N2 0.317 0.499 0.773
O1 0.000 0.375 0.531
O2 0.500 0.126 0.527
# Uncorrected energy (Ha/atom): -0.331


# Al2Si2Tc (GGA-PBE, relaxed)
data_Al2Si2Tc
_chemical_formula_sum 'Al4 Si4 Tc2'
_symmetry_space_group_name_H-M 'I 4/m m m'
_symmetry_Int_Tables_number 139
_symmetry_space_group_name_Hall '-I 4 2'
_cell_length_a 3.562
_cell_length_b 3.562
_cell_length_c 11.969
_cell_angle_alpha 90.00
_cell_angle_beta 90.00
_cell_angle_gamma 90.00
loop_
_atom_site_label
_atom_site_fract_x
_atom_site_fract_y
_atom_site_fract_z
Al1 0.000 0.500 0.250
Si1 0.000 0.000 0.098
Tc1 0.000 0.000 0.500
# ΔE to the lowest computed polymorph (meV per atom): 170


# KNaOs (GGA-PBE, relaxed)
data_KNaOs
_chemical_formula_sum 'K4 Na4 Os4'
_symmetry_space_group_name_H-M 'F -4 3 m'
_symmetry_Int_Tables_number 216
_symmetry_space_group_name_Hall 'F -4 2 3'
_cell_length_a 7.359
_cell_length_b 7.359
_cell_length_c 7.359
_cell_angle_alpha 90.00
_cell_angle_beta 90.00
_cell_angle_gamma 90.00
loop_
_atom_site_label
_atom_site_fract_x
_atom_site_fract_y
_atom_site_fract_z
K1 0.000 0.000 0.000
Na1 0.000 0.000 0.500
Os1 0.250 0.250 0.250
# ΔE to the lowest computed polymorph (meV per atom): 0


# Tb6Co2Hg (GGA-PBE, relaxed)
data_Tb6Co2Hg
_chemical_formula_sum 'Tb24 Co8 Hg4'
_symmetry_space_group_name_H-M 'I m m m'
_symmetry_Int_Tables_number 71
_symmetry_space_group_name_Hall '-I 2 2'
_cell_length_a 9.343
_cell_length_b 9.674
_cell_length_c 9.951
_cell_angle_alpha 90.00
_cell_angle_beta 90.00
_cell_angle_gamma 90.00
loop_
_atom_site_label
_atom_site_fract_x
_atom_site_fract_y
_atom_site_fract_z
Tb1 0.000 0.209 0.226
Tb2 0.198 0.500 0.183
Tb3 0.209 0.314 0.500
Co1 0.000 0.378 0.000
Co2 0.000 0.500 0.388
Hg1 0.000 0.000 0.000
Hg2 0.000 0.000 0.500
# ΔH_f (0 K) (eV per formula unit): -2.16


# KRbNd2Sb2 (GGA-PBE, relaxed)
data_KRbNd2Sb2
_chemical_formula_sum 'K1 Rb1 Nd2 Sb2'
_symmetry_space_group_name_H-M 'P 4 m m'
_symmetry_Int_Tables_number 99
_cell_length_a 5.388
_cell_length_b 5.388
_cell_length_c 8.617
_cell_angle_alpha 90.00
_cell_angle_beta 90.00
_cell_angle_gamma 90.00
loop_
_symmetry_equiv_pos_as_xyz
'x,y,z'
'-y,x,z'
'-x,-y,z'
'y,-x,z'
'-x,y,z'
'y,x,z'
'x,-y,z'
'-y,-x,z'
loop_
_atom_site_label
_atom_site_fract_x
_atom_site_fract_y
_atom_site_fract_z
K1 0.000 0.000 0.000
Rb1 0.500 0.500 0.740
Nd1 0.000 0.500 0.368
Sb1 0.000 0.000 0.571
Sb2 0.500 0.500 0.170
# ΔE to the lowest computed polymorph (meV per atom): 0


# Nb4Ag2O11 (GGA-PBE, relaxed)
data_Nb4Ag2O11
_chemical_formula_sum 'Nb24 Ag12 O66'
_symmetry_space_group_name_H-M 'R 3'
_symmetry_Int_Tables_number 146
_symmetry_space_group_name_Hall 'R 3'
_cell_length_a 6.2274
_cell_length_b 6.2274
_cell_length_c 37.3821
_cell_angle_alpha 90.00
_cell_angle_beta 90.00
_cell_angle_gamma 120.00
loop_
_atom_site_label
_atom_site_fract_x
_atom_site_fract_y
_atom_site_fract_z
Nb1 0.0000 0.0000 0.0000
Nb2 0.0000 0.0000 0.5000
Nb3 0.0360 0.3382 0.0807
Nb4 0.0356 0.6979 0.5807
Ag1 0.0000 0.0000 0.1685
Ag2 0.0000 0.0000 0.3256
Ag3 0.0000 0.0000 0.6692
Ag4 0.0000 0.0000 0.8261
O1 0.0000 0.0000 0.0863
O2 0.0000 0.0000 0.3992
O3 0.0000 0.0000 0.5871
O4 0.0000 0.0000 0.8994
O5 0.0014 0.7488 0.7453
O6 0.0018 0.2529 0.2451
O7 0.0241 0.2821 0.0246
O8 0.0258 0.7435 0.5248
O9 0.0891 0.6989 0.6306
O10 0.0905 0.3881 0.1307
# Uncorrected energy (Ha/atom): -0.293


Q: Which formula does entry 1 have?
A: DyNbN2O